Here is a relaxed Ac3La7Pr crystal from Alexandria via LeMat-Bulk. Energies are from PBE.

Properties
- total energy (eV/atom) = -4.538
- spin magnetization (μB/cell) = 0.00

a b c (Å): 7.5379 7.5379 9.1922
angles (deg): 90.00 90.00 120.00
Space group P3m1 (No. 156)
Inequivalent atoms, fractional coordinates:
Ac 0.9998 0.4999 0.0000 x3
La 0.1675 0.3350 0.3385 x3
La 0.3356 0.1678 0.6614 x3
La 0.6667 0.3333 0.3405 x1
Pr 0.3333 0.6667 0.6586 x1